Record 1
Entry from Alexandria: crystalline Ge2OsPb at its relaxed geometry (PBE-GGA).

abc: 5.1134 5.1134 15.3268
angles: 90.00 90.00 90.00
With the nearest neighbours (Å) after each atom.
Space group I-42d (No. 122)
Unique sites:
Ge 0.1222 0.2500 0.1250 x8  2 Os 2.39
Os 0.0000 0.0000 0.0000 x4  4 Ge 2.39
Pb 0.0000 0.0000 0.5000 x4  4 Ge 3.01

Values from the calculation:
* raw total energy: -0.409 Ry per atom
* ΔE_f: 0.483 eV per atom
* spin magnetization: 0.000 μB per atom

=====

Record 2
Entry from Alexandria: crystalline BaSrInHg at its relaxed geometry (PBE-GGA).

abc: 8.3137 8.3137 8.3137
angles: 90.00 90.00 90.00
With the nearest neighbours (Å) after each atom.
Space group F-43m (No. 216)
Unique sites:
Ba 0.0000 0.0000 0.0000 x4  4 In 3.60, 4 Hg 3.60
Sr 0.0000 0.0000 0.5000 x4  4 Hg 3.60, 4 In 3.60
In 0.2500 0.2500 0.2500 x4  4 Ba 3.60, 4 Sr 3.60
Hg 0.2500 0.2500 0.7500 x4  4 Ba 3.60, 4 Sr 3.60

Values from the calculation:
* raw total energy: -0.156 Ry per atom
* ΔE_f: -0.464 eV per atom
* spin magnetization: 0.000 μB per atom

=====

Record 3
Entry from Alexandria: crystalline MgPPd4 at its relaxed geometry (PBE-GGA).

abc: 5.8871 9.1995 7.4955
angles: 90.00 112.16 90.00
With the nearest neighbours (Å) after each atom.
Space group C2/c (No. 15)
Unique sites:
Mg 0.0000 0.1255 0.2500 x4  8 Pd 2.56-2.74
P 0.0000 0.3748 0.7500 x4  8 Pd 2.52-2.64
Pd 0.0979 0.3815 0.4504 x8  2 P 2.52-2.64, 2 Mg 2.58-2.74, 3 Pd 2.70-2.81
Pd 0.1054 0.1315 0.9487 x8  2 P 2.56-2.63, 2 Mg 2.56-2.74, 4 Pd 2.69-2.82

Values from the calculation:
* raw total energy: -0.369 Ry per atom
* ΔE_f: -0.387 eV per atom
* spin magnetization: 0.000 μB per atom
* energy relative to the lowest polymorph listed for this composition: 28 meV/atom

=====

Record 4
Entry from Alexandria: crystalline SnAs2CBr at its relaxed geometry (PBE-GGA).

abc: 4.4184 4.4184 5.2464
angles: 90.00 90.00 90.00
With the nearest neighbours (Å) after each atom.
Space group P4/mmm (No. 123)
Unique sites:
Sn 0.0000 0.0000 0.0000 x1  4 Br 3.12, 8 As 3.43
As 0.0000 0.5000 0.5000 x2  2 C 2.21
C 0.5000 0.5000 0.5000 x1  4 As 2.21
Br 0.5000 0.5000 0.0000 x1  2 C 2.62

Values from the calculation:
* raw total energy: -0.283 Ry per atom
* spin magnetization: 0.000 μB per atom
* energy relative to the lowest polymorph listed for this composition: 0 meV/atom

=====

Record 5
Entry from Alexandria: crystalline Ac4TlPdBr2 at its relaxed geometry (PBE-GGA).

abc: 8.0780 4.5000 8.3435
angles: 90.00 108.08 90.00
With the nearest neighbours (Å) after each atom.
Space group P2/m (No. 10)
Unique sites:
Ac 0.2127 0.0000 0.2212 x2  2 Pd 3.07, 1 Tl 3.29, 1 Br 3.38
Ac 0.2382 0.5000 0.7650 x2  1 Pd 3.14, 3 Br 3.29-3.50, 2 Tl 3.32
Tl 0.0000 0.0000 0.5000 x1  6 Ac 3.29-3.32
Pd 0.0000 0.5000 0.0000 x1  6 Ac 3.07-3.14
Br 0.5000 0.0000 0.0000 x1  6 Ac 3.29-3.38
Br 0.5000 0.5000 0.5000 x1  6 Ac 3.50-3.54

Values from the calculation:
* raw total energy: -0.317 Ry per atom
* spin magnetization: 0.000 μB per atom

=====

Record 6
Entry from Alexandria: crystalline Sc6BiTe3Se2 at its relaxed geometry (PBE-GGA).

abc: 7.0560 12.2376 7.1175
angles: 90.00 109.43 90.00
With the nearest neighbours (Å) after each atom.
Space group C2/m (No. 12)
Unique sites:
Sc 0.2127 0.0000 0.2160 x4  2 Se 2.71, 3 Te 2.89-3.03, 1 Bi 2.92
Sc 0.2452 0.1782 0.7743 x8  2 Se 2.72-2.73, 1 Te 2.93, 1 Bi 2.94
Bi 0.0000 0.5000 0.0000 x2  6 Sc 2.92-2.94
Te 0.0000 0.0000 0.5000 x2  6 Sc 2.89-3.05
Te 0.0000 0.3423 0.5000 x4  6 Sc 2.93-3.07
Se 0.0000 0.1690 0.0000 x4  6 Sc 2.71-2.73

Values from the calculation:
* raw total energy: -0.445 Ry per atom
* spin magnetization: 0.000 μB per atom

=====

Record 7
Entry from Alexandria: crystalline Li2TiBi2 at its relaxed geometry (PBE-GGA).

abc: 8.0026 8.0026 3.4037
angles: 90.00 90.00 90.00
With the nearest neighbours (Å) after each atom.
Space group P4/mbm (No. 127)
Unique sites:
Li 0.1262 0.3738 0.0000 x4  6 Bi 2.83-2.97, 1 Li 2.86
Ti 0.0000 0.0000 0.5000 x2  4 Bi 2.96
Bi 0.1741 0.6741 0.5000 x4  6 Li 2.83-2.97, 2 Ti 2.96

Values from the calculation:
* raw total energy: -0.296 Ry per atom
* ΔE_f: -0.128 eV per atom
* spin magnetization: 0.000 μB per atom

=====

Record 8
Entry from Alexandria: crystalline CaIrBr at its relaxed geometry (PBE-GGA).

abc: 7.0038 7.0038 7.0038
angles: 90.00 90.00 90.00
With the nearest neighbours (Å) after each atom.
Space group F-43m (No. 216)
Unique sites:
Ca 0.0000 0.0000 0.0000 x4  4 Br 3.03, 4 Ir 3.03
Ir 0.2500 0.2500 0.7500 x4  4 Ca 3.03
Br 0.2500 0.2500 0.2500 x4  4 Ca 3.03

Values from the calculation:
* raw total energy: -0.284 Ry per atom
* spin magnetization: 0.657 μB per atom
* energy relative to the lowest polymorph listed for this composition: 1384 meV/atom

=====

Record 9
Entry from Alexandria: crystalline ScC2 at its relaxed geometry (PBE-GGA).

abc: 3.4231 4.5495 4.6822
angles: 90.00 90.00 90.00
With the nearest neighbours (Å) after each atom.
Space group Immm (No. 71)
Unique sites:
Sc 0.0000 0.0000 0.0000 x2  8 C 2.36-2.43
C 0.0000 0.1429 0.5000 x4  1 C 1.30

Values from the calculation:
* raw total energy: -0.611 Ry per atom
* ΔE_f: -0.048 eV per atom
* spin magnetization: 0.000 μB per atom

=====

Record 10
Entry from Alexandria: crystalline Nb13W3 at its relaxed geometry (PBE-GGA).

abc: 6.5643 9.2946 9.2986
angles: 90.00 90.00 90.00
With the nearest neighbours (Å) after each atom.
Space group Amm2 (No. 38)
Unique sites:
Nb 0.0000 0.0000 0.0000 x2  2 W 2.81, 6 Nb 2.84-2.86
Nb 0.0000 0.0000 0.4929 x2  2 W 2.84, 6 Nb 2.87-2.89
Nb 0.0000 0.2462 0.2464 x4  2 W 2.82, 6 Nb 2.85-2.88
Nb 0.2518 0.0000 0.7484 x4  1 W 2.86, 7 Nb 2.86-2.89
Nb 0.2519 0.2481 0.9965 x8  1 W 2.82, 7 Nb 2.84-2.87
Nb 0.5000 0.0000 0.4927 x2  2 W 2.82, 6 Nb 2.85-2.88
Nb 0.5000 0.2466 0.2466 x4  2 W 2.81, 6 Nb 2.84-2.86
W 0.2522 0.0000 0.2444 x4  1 W 2.79, 7 Nb 2.81-2.84
W 0.5000 0.0000 0.0010 x2  2 W 2.79, 6 Nb 2.82-2.86

Values from the calculation:
* raw total energy: -0.782 Ry per atom
* ΔE_f: -0.034 eV per atom
* spin magnetization: 0.000 μB per atom

=====

Record 11
Entry from Alexandria: crystalline ScAl2W at its relaxed geometry (PBE-GGA).

abc: 3.9906 3.9906 19.2212
angles: 90.00 90.00 90.00
With the nearest neighbours (Å) after each atom.
Space group I-42d (No. 122)
Unique sites:
Sc 0.0000 0.0000 0.0000 x4  4 W 2.82, 4 Al 2.84
Al 0.2156 0.2500 0.6250 x8  2 Al 2.63, 2 W 2.74, 2 Sc 2.84
W 0.0000 0.0000 0.5000 x4  4 Al 2.74, 4 Sc 2.82

Values from the calculation:
* raw total energy: -0.458 Ry per atom
* ΔE_f: 0.466 eV per atom
* spin magnetization: 0.000 μB per atom
* energy relative to the lowest polymorph listed for this composition: 669 meV/atom

=====

Record 12
Entry from Alexandria: crystalline NaMg5Tl6 at its relaxed geometry (PBE-GGA).

abc: 9.9208 10.3690 6.1425
angles: 90.00 100.76 90.00
With the nearest neighbours (Å) after each atom.
Space group C2/m (No. 12)
Unique sites:
Na 0.0000 0.0000 0.0000 x2  6 Tl 3.19, 6 Mg 3.53-3.56
Mg 0.0000 0.1733 0.5000 x4  6 Tl 3.12-3.18, 1 Mg 3.39
Mg 0.0000 0.3400 0.0000 x4  6 Tl 3.13-3.21, 3 Mg 3.32-3.49
Mg 0.0000 0.5000 0.5000 x2  6 Tl 3.12-3.18, 2 Mg 3.39
Tl 0.2482 0.0000 0.7364 x4  5 Mg 3.12-3.18, 1 Na 3.19, 4 Tl 3.44-3.48
Tl 0.2482 0.3313 0.7527 x8  5 Mg 3.12-3.21, 1 Na 3.19, 3 Tl 3.44-3.48

Values from the calculation:
* raw total energy: -0.147 Ry per atom
* ΔE_f: -0.039 eV per atom
* spin magnetization: 0.000 μB per atom
* energy relative to the lowest polymorph listed for this composition: 16 meV/atom